Compound: CoPdSO
Source: the Open Quantum Materials Database
Functional: PBE+U
Structure: relaxed

```
CoPdSO
1.0
4.369 0.000 0.000
0.000 4.369 0.000
0.000 0.000 6.301
Co O Pd S
2 2 2 2
Direct
0.250 0.250 0.322
0.750 0.750 0.678
0.250 0.250 0.055
0.750 0.750 0.945
0.750 0.750 0.267
0.250 0.250 0.733
0.750 0.250 0.500
0.250 0.750 0.500
```

Its volume is 120 Å³/cell. As for the relative energy among the computed polymorphs: 436.5 meV per atom.